Below is crystalline Dy5Cu2Bi at its relaxed geometry, with properties calculated at the PBE level.

a b c (Å): 7.9712 7.9712 13.0067
angles (deg): 90.00 90.00 90.00
Space group I4/mcm (No. 140)
Symmetry-distinct sites (fractional):
Dy 0.0000 0.0000 0.0000 (multiplicity 4)
Dy 0.1530 0.3470 0.1397 (multiplicity 16)
Cu 0.1325 0.3675 0.5000 (multiplicity 8)
Bi 0.0000 0.0000 0.2500 (multiplicity 4)

Properties
* M_tot: 0.00 μB/cell
* total energy: -151.60 eV for the cell shown
* Fermi-level density of states: 0.993 states/eV/atom
* V: 826.45 Å³ per cell
* energy relative to the elements: -0.352 eV/atom



Below is crystalline MoSe3N at its relaxed geometry, with properties calculated at the PBE level.

a b c (Å): 4.3568 4.3568 4.3568
angles (deg): 90.00 90.00 90.00
Space group Pm-3m (No. 221)
Symmetry-distinct sites (fractional):
Mo 0.0000 0.0000 0.0000 (multiplicity 1)
Se 0.0000 0.5000 0.5000 (multiplicity 3)
N 0.5000 0.5000 0.5000 (multiplicity 1)

Properties
* M_tot: 1.77 μB/cell
* relative energy among the computed polymorphs: 0.0 kJ/mol of atoms
* total energy: -24.29 eV for the cell shown
* formation energy (no corrections): 1063 meV/atom
* Fermi-level density of states: 0.555 states/eV/atom
* V: 82.70 Å³ per cell



Below is crystalline Pm3Dy5H12 at its relaxed geometry, with properties calculated at the PBE level.

a b c (Å): 13.2414 13.2414 13.2414
angles (deg): 90.00 90.00 90.00
Space group Ia-3d (No. 230)
Symmetry-distinct sites (fractional):
Pm 0.0000 0.2500 0.1250 (multiplicity 24)
Dy 0.0000 0.0000 0.0000 (multiplicity 16)
Dy 0.0000 0.2500 0.3750 (multiplicity 24)
H 0.0063 0.0673 0.6537 (multiplicity 96)

Properties
* M_tot: 0.00 μB/cell
* total energy: -693.96 eV for the cell shown
* Fermi-level density of states: 0.705 states/eV/atom
* V: 2321.66 Å³ per cell